No. 1
## ErNbSi2Ru (PBE)

Data for a geometry-optimized ErNbSi2Ru structure.

The space group is I-4m2 (No. 119) and the conventional cell measures 4.0159, 4.0159 and 10.9381 Å, with angles of 90.00, 90.00 and 90.00 degrees. The inequivalent atoms are Er at (0.0000, 0.0000, 0.0000), Nb at (0.0000, 0.5000, 0.2500), Si at (0.0000, 0.0000, 0.3916) and Ru at (0.0000, 0.5000, 0.7500).

As for the total energy: -7.620 eV per atom. For the uncorrected formation energy, the calculation gives -323 kJ/mol of formula units.

---

No. 2
## KCo3Ir (PBE)

Data for a geometry-optimized KCo3Ir structure.

The space group is Pm-3m (No. 221) and the conventional cell measures 4.2943, 4.2943 and 4.2943 Å, with angles of 90.00, 90.00 and 90.00 degrees. The inequivalent atoms are K at (0.0000, 0.0000, 0.0000), Co at (0.0000, 0.0000, 0.5000) and Ir at (0.5000, 0.5000, 0.5000).

As for the total energy: -3.737 eV per atom. The formation enthalpy at 0 K is 2.52 eV per atom. The energy relative to the lowest polymorph listed for this composition comes out at 1421 meV per atom.

---

No. 3
## AlP2Rh (PBE)

Data for a geometry-optimized AlP2Rh structure.

The space group is Immm (No. 71) and the conventional cell measures 2.8167, 4.2319 and 10.4886 Å, with angles of 90.00, 90.00 and 90.00 degrees. The inequivalent atoms are Al at (0.0000, 0.0000, 0.0000), P at (0.0000, 0.5000, 0.1948) and Rh at (0.0000, 0.0000, 0.5000).

As for the total energy: -5.603 eV per atom. The formation enthalpy at 0 K is -0.12 eV per atom.

---

No. 4
## PuPAu (PBE)

Data for a geometry-optimized PuPAu structure.

The space group is I4mm (No. 107) and the conventional cell measures 3.7400, 3.7400 and 9.1544 Å, with angles of 90.00, 90.00 and 90.00 degrees. The inequivalent atoms are Pu at (0.0000, 0.0000, 0.0000), P at (0.0000, 0.0000, 0.3857) and Au at (0.0000, 0.0000, 0.6806).

As for the total energy: -8.090 eV per atom. The formation enthalpy at 0 K is -0.42 eV per atom.

---

No. 5
## Ba8SbSe3I4 (PBE)

Data for a geometry-optimized Ba8SbSe3I4 structure.

The space group is R-3m (No. 166, hexagonal axes) and the conventional cell measures 9.6926, 9.6926 and 24.6000 Å, with angles of 90.00, 90.00 and 120.00 degrees. The inequivalent atoms are Ba at (0.0000, 0.0000, 0.2375), Ba at (0.0058, 0.5029, 0.7607), Sb at (0.0000, 0.0000, 0.5000), Se at (0.0000, 0.5000, 0.5000), I at (0.0000, 0.0000, 0.0000) and I at (0.0000, 0.5000, 0.0000).

As for the total energy: -3.897 eV per atom. For the uncorrected formation energy, the calculation gives -2528 kJ/mol of formula units.

---

No. 6
## BaDyIr2O8 (PBE)

Data for a geometry-optimized BaDyIr2O8 structure.

The space group is P-3m1 (No. 164) and the conventional cell measures 5.9411, 5.9411 and 7.6635 Å, with angles of 90.00, 90.00 and 120.00 degrees. The inequivalent atoms are Ba at (0.0000, 0.0000, 0.0000), Dy at (0.0000, 0.0000, 0.5000), Ir at (0.3333, 0.6667, 0.7687), O at (0.1610, 0.3221, 0.6968) and O at (0.3333, 0.6667, 0.0070).

As for the total energy: -6.697 eV per atom. For the uncorrected formation energy, the calculation gives -1587 kJ/mol of formula units.

---

Number 1: DOS at the Fermi energy 0.65 states/eV per atom. Number 2: DOS at the Fermi energy 1.79 states/eV per atom. Number 3: DOS at the Fermi energy 0.50 states/eV per atom. Number 4: DOS at the Fermi energy 3.19 states/eV per atom. Number 5: DOS at the Fermi energy 0.36 states/eV per atom. Number 6: DOS at the Fermi energy 0.95 states/eV per atom.